VASP calculation (PBE with a Hubbard U) on a relaxed structure of TaMnF3.

Cell: 4.3316 4.3316 4.3316 Å, 90.00 90.00 90.00°
With the nearest neighbours (Å) after each atom.
Space group Pm-3m (No. 221)
One atom of each set of equivalent atoms:
Ta 0.0000 0.0000 0.0000 (multiplicity 1)  6 F 2.17
Mn 0.5000 0.5000 0.5000 (multiplicity 1)  12 F 3.06
F 0.0000 0.0000 0.5000 (multiplicity 3)  2 Ta 2.17

DFT total energy, eV per atom: -6.28
Total magnetic moment, μB per formula unit: 7.66
Relative energy among the computed polymorphs, eV/f.u.: 0.000
Crystal system: cubic